Record 1
Entry from the Alexandria database: Sb4AsRh after structural relaxation (PBE-GGA).

Geometry as CIF:
```
data_Sb4AsRh
_space_group_name_H-M_alt 'F -4 3 m'
_space_group_IT_number 216
_space_group_name_Hall 'F -4 2 3'
_cell_length_a 8.5362
_cell_length_b 8.5362
_cell_length_c 8.5362
_cell_angle_alpha 90.00
_cell_angle_beta 90.00
_cell_angle_gamma 90.00
loop_
_atom_site_label
_atom_site_type_symbol
_atom_site_fract_x
_atom_site_fract_y
_atom_site_fract_z
Sb1 Sb 0.1247 0.1247 0.1247
As1 As 0.2500 0.2500 0.7500
Rh1 Rh 0.0000 0.0000 0.5000
```

**Calculated density**: 7.10 Mg/m³
**Calculated volume**: 25.917 A^3/atom
**E_tot**: -0.14406 Ha/atom
**Formation energy from raw total energies**: 0.828 eV/atom

=====

Record 2
Entry from the Alexandria database: SbAsRh2 after structural relaxation (PBE-GGA).

Geometry as CIF:
```
data_SbAsRh2
_space_group_name_H-M_alt 'R -3 m'
_space_group_IT_number 166
_space_group_name_Hall '-R 3 2"'
_cell_length_a 3.1579
_cell_length_b 3.1579
_cell_length_c 23.6669
_cell_angle_alpha 90.00
_cell_angle_beta 90.00
_cell_angle_gamma 120.00
loop_
_atom_site_label
_atom_site_type_symbol
_atom_site_fract_x
_atom_site_fract_y
_atom_site_fract_z
Sb1 Sb 0.0000 0.0000 0.0000
As1 As 0.0000 0.0000 0.5000
Rh1 Rh 0.0000 0.0000 0.2443
```

**Calculated density**: 9.81 Mg/m³
**Calculated volume**: 17.033 A^3/atom
**E_tot**: -0.22240 Ha/atom
**Formation energy from raw total energies**: -0.183 eV/atom

=====

Record 3
Entry from the Alexandria database: SbAsRh2 after structural relaxation (PBE-GGA).

Geometry as CIF:
```
data_SbAsRh2
_space_group_name_H-M_alt 'C 1 2/m 1'
_space_group_IT_number 12
_cell_length_a 8.0616
_cell_length_b 3.1574
_cell_length_c 5.4985
_cell_angle_alpha 90.00
_cell_angle_beta 102.97
_cell_angle_gamma 90.00
loop_
_space_group_symop_operation_xyz
'x,y,z'
'-x,-y,-z'
'-x,y,-z'
'x,-y,z'
'x+1/2,y+1/2,z'
'-x+1/2,-y+1/2,-z'
'-x+1/2,y+1/2,-z'
'x+1/2,-y+1/2,z'
loop_
_atom_site_label
_atom_site_type_symbol
_atom_site_fract_x
_atom_site_fract_y
_atom_site_fract_z
Sb1 Sb 0.0000 0.0000 0.0000
As1 As 0.0000 0.5000 0.5000
Rh1 Rh 0.2453 0.0000 0.7256
```

**Calculated density**: 9.80 Mg/m³
**Calculated volume**: 17.049 A^3/atom
**E_tot**: -0.22294 Ha/atom
**Formation energy from raw total energies**: -0.198 eV/atom

=====

Record 4
Entry from the Alexandria database: SbAs2Rh after structural relaxation (PBE-GGA).

Geometry as CIF:
```
data_SbAs2Rh
_space_group_name_H-M_alt 'C 1 2/m 1'
_space_group_IT_number 12
_cell_length_a 6.6024
_cell_length_b 3.7555
_cell_length_c 6.8728
_cell_angle_alpha 90.00
_cell_angle_beta 108.11
_cell_angle_gamma 90.00
loop_
_space_group_symop_operation_xyz
'x,y,z'
'-x,-y,-z'
'-x,y,-z'
'x,-y,z'
'x+1/2,y+1/2,z'
'-x+1/2,-y+1/2,-z'
'-x+1/2,y+1/2,-z'
'x+1/2,-y+1/2,z'
loop_
_atom_site_label
_atom_site_type_symbol
_atom_site_fract_x
_atom_site_fract_y
_atom_site_fract_z
Sb1 Sb 0.0000 0.0000 0.0000
As1 As 0.2343 0.0000 0.7023
Rh1 Rh 0.0000 0.5000 0.5000
```

**Calculated density**: 7.68 Mg/m³
**Calculated volume**: 20.247 A^3/atom
**E_tot**: -0.19189 Ha/atom
**Formation energy from raw total energies**: -0.028 eV/atom

=====

Record 5
Entry from the Alexandria database: SbAsRh2 after structural relaxation (PBE-GGA).

Geometry as CIF:
```
data_SbAsRh2
_space_group_name_H-M_alt 'P 4 m m'
_space_group_IT_number 99
_cell_length_a 3.5647
_cell_length_b 3.5647
_cell_length_c 5.4148
_cell_angle_alpha 90.00
_cell_angle_beta 90.00
_cell_angle_gamma 90.00
loop_
_space_group_symop_operation_xyz
'x,y,z'
'-y,x,z'
'-x,-y,z'
'y,-x,z'
'-x,y,z'
'y,x,z'
'x,-y,z'
'-y,-x,z'
loop_
_atom_site_label
_atom_site_type_symbol
_atom_site_fract_x
_atom_site_fract_y
_atom_site_fract_z
Sb1 Sb 0.0000 0.0000 0.0000
As1 As 0.5000 0.5000 0.3788
Rh1 Rh 0.0000 0.0000 0.4994
Rh2 Rh 0.5000 0.5000 0.8316
```

**Calculated density**: 9.71 Mg/m³
**Calculated volume**: 17.202 A^3/atom
**E_tot**: -0.22948 Ha/atom
**Formation energy from raw total energies**: -0.376 eV/atom

=====

Record 6
Entry from the Alexandria database: SbAsRh2 after structural relaxation (PBE-GGA).

Geometry as CIF:
```
data_SbAsRh2
_space_group_name_H-M_alt 'F m -3 m'
_space_group_IT_number 225
_space_group_name_Hall '-F 4 2 3'
_cell_length_a 6.4366
_cell_length_b 6.4366
_cell_length_c 6.4366
_cell_angle_alpha 90.00
_cell_angle_beta 90.00
_cell_angle_gamma 90.00
loop_
_atom_site_label
_atom_site_type_symbol
_atom_site_fract_x
_atom_site_fract_y
_atom_site_fract_z
Sb1 Sb 0.0000 0.0000 0.0000
As1 As 0.0000 0.0000 0.5000
Rh1 Rh 0.2500 0.2500 0.2500
```

**Calculated density**: 10.03 Mg/m³
**Calculated volume**: 16.667 A^3/atom
**E_tot**: -0.22112 Ha/atom
**Formation energy from raw total energies**: -0.148 eV/atom

=====

Record 7
Entry from the Alexandria database: SbAs2Rh after structural relaxation (PBE-GGA).

Geometry as CIF:
```
data_SbAs2Rh
_space_group_name_H-M_alt 'P 1 2/m 1'
_space_group_IT_number 10
_cell_length_a 4.6536
_cell_length_b 3.7787
_cell_length_c 4.9203
_cell_angle_alpha 90.00
_cell_angle_beta 110.63
_cell_angle_gamma 90.00
loop_
_space_group_symop_operation_xyz
'x,y,z'
'-x,-y,-z'
'-x,y,-z'
'x,-y,z'
loop_
_atom_site_label
_atom_site_type_symbol
_atom_site_fract_x
_atom_site_fract_y
_atom_site_fract_z
Sb1 Sb 0.0000 0.0000 0.0000
As1 As 0.2605 0.5000 0.6834
Rh1 Rh 0.5000 0.0000 0.5000
```

**Calculated density**: 7.68 Mg/m³
**Calculated volume**: 20.243 A^3/atom
**E_tot**: -0.19611 Ha/atom
**Formation energy from raw total energies**: -0.143 eV/atom

=====

Record 8
Entry from the Alexandria database: SbAs2Rh2 after structural relaxation (PBE-GGA).

Geometry as CIF:
```
data_SbAs2Rh2
_space_group_name_H-M_alt 'P 4/m b m'
_space_group_IT_number 127
_space_group_name_Hall '-P 4 2ab'
_cell_length_a 7.5825
_cell_length_b 7.5825
_cell_length_c 3.0916
_cell_angle_alpha 90.00
_cell_angle_beta 90.00
_cell_angle_gamma 90.00
loop_
_atom_site_label
_atom_site_type_symbol
_atom_site_fract_x
_atom_site_fract_y
_atom_site_fract_z
Sb1 Sb 0.0000 0.0000 0.0000
As1 As 0.1408 0.3592 0.5000
Rh1 Rh 0.1341 0.6341 0.0000
```

**Relative energy among the computed polymorphs**: 0 meV per atom
**Calculated density**: 8.92 Mg/m³
**Calculated volume**: 17.775 A^3/atom
**E_tot**: -0.21232 Ha/atom
**Formation energy from raw total energies**: -0.153 eV/atom

=====

Record 9
Entry from the Alexandria database: SbAsRh2 after structural relaxation (PBE-GGA).

Geometry as CIF:
```
data_SbAsRh2
_space_group_name_H-M_alt 'P 4/m m m'
_space_group_IT_number 123
_space_group_name_Hall '-P 4 2'
_cell_length_a 3.1817
_cell_length_b 3.1817
_cell_length_c 6.6210
_cell_angle_alpha 90.00
_cell_angle_beta 90.00
_cell_angle_gamma 90.00
loop_
_atom_site_label
_atom_site_type_symbol
_atom_site_fract_x
_atom_site_fract_y
_atom_site_fract_z
Sb1 Sb 0.0000 0.0000 0.0000
As1 As 0.0000 0.0000 0.5000
Rh1 Rh 0.5000 0.5000 0.2819
```

**Calculated density**: 9.97 Mg/m³
**Calculated volume**: 16.756 A^3/atom
**E_tot**: -0.22158 Ha/atom
**Formation energy from raw total energies**: -0.161 eV/atom

=====

Record 10
Entry from the Alexandria database: SbAsRh after structural relaxation (PBE-GGA).

Geometry as CIF:
```
data_SbAsRh
_space_group_name_H-M_alt 'F -4 3 m'
_space_group_IT_number 216
_space_group_name_Hall 'F -4 2 3'
_cell_length_a 6.2547
_cell_length_b 6.2547
_cell_length_c 6.2547
_cell_angle_alpha 90.00
_cell_angle_beta 90.00
_cell_angle_gamma 90.00
loop_
_atom_site_label
_atom_site_type_symbol
_atom_site_fract_x
_atom_site_fract_y
_atom_site_fract_z
Sb1 Sb 0.0000 0.0000 0.0000
As1 As 0.0000 0.0000 0.5000
Rh1 Rh 0.2500 0.2500 0.7500
```

**Relative energy among the computed polymorphs**: 213 meV per atom
**Calculated density**: 8.13 Mg/m³
**Calculated volume**: 20.391 A^3/atom
**E_tot**: -0.20859 Ha/atom
**Formation energy from raw total energies**: -0.302 eV/atom

=====

Record 11
Entry from the Alexandria database: SbAs2Rh after structural relaxation (PBE-GGA).

Geometry as CIF:
```
data_SbAs2Rh
_space_group_name_H-M_alt 'A m m 2'
_space_group_IT_number 38
_cell_length_a 4.4765
_cell_length_b 5.3459
_cell_length_c 6.6500
_cell_angle_alpha 90.00
_cell_angle_beta 90.00
_cell_angle_gamma 90.00
loop_
_space_group_symop_operation_xyz
'x,y,z'
'-x,-y,z'
'-x,y,z'
'x,-y,z'
'x,y+1/2,z+1/2'
'-x,-y+1/2,z+1/2'
'-x,y+1/2,z+1/2'
'x,-y+1/2,z+1/2'
loop_
_atom_site_label
_atom_site_type_symbol
_atom_site_fract_x
_atom_site_fract_y
_atom_site_fract_z
Sb1 Sb 0.0000 0.0000 0.0000
As1 As 0.0000 0.0000 0.5771
As2 As 0.5000 0.0000 0.3281
Rh1 Rh 0.5000 0.0000 0.7591
```

**Calculated density**: 7.82 Mg/m³
**Calculated volume**: 19.893 A^3/atom
**E_tot**: -0.19139 Ha/atom
**Formation energy from raw total energies**: -0.015 eV/atom

=====

Record 12
Entry from the Alexandria database: SbAsRh2 after structural relaxation (PBE-GGA).

Geometry as CIF:
```
data_SbAsRh2
_space_group_name_H-M_alt 'P 1 21/c 1'
_space_group_IT_number 14
_cell_length_a 7.5427
_cell_length_b 6.3350
_cell_length_c 5.8549
_cell_angle_alpha 90.00
_cell_angle_beta 90.25
_cell_angle_gamma 90.00
loop_
_space_group_symop_operation_xyz
'x,y,z'
'-x,-y,-z'
'-x,y+1/2,-z+1/2'
'x,-y+1/2,z+1/2'
loop_
_atom_site_label
_atom_site_type_symbol
_atom_site_fract_x
_atom_site_fract_y
_atom_site_fract_z
Sb1 Sb 0.1253 0.0958 0.3009
As1 As 0.3797 0.5808 0.1959
Rh1 Rh 0.1446 0.7001 0.4916
Rh2 Rh 0.3884 0.1912 0.9987
```

**Calculated density**: 9.56 Mg/m³
**Calculated volume**: 17.485 A^3/atom
**E_tot**: -0.23343 Ha/atom
**Formation energy from raw total energies**: -0.483 eV/atom